Cd5HgBr12 PBE optimized geometry; space group = No. 12; ρ = 4832 kg/m3; ΔE_f (raw) = -1359 kJ/mol of formula units; energy = -2.169 eV per atom
1.0
7.038 0.000 0.009
3.519 6.105 0.004
0.012 0.000 13.770
Br Hg Cd
12 1 5
direct
0.662 0.000 0.885 Br
0.833 0.667 0.614 Br
0.000 0.662 0.115 Br
0.000 0.338 0.885 Br
0.499 0.333 0.614 Br
0.501 0.667 0.386 Br
0.338 0.000 0.115 Br
0.166 0.000 0.614 Br
0.338 0.662 0.885 Br
0.834 0.000 0.386 Br
0.167 0.333 0.386 Br
0.662 0.338 0.115 Br
0.000 0.000 0.000 Hg
0.333 0.333 0.000 Cd
0.500 0.000 0.500 Cd
0.167 0.667 0.500 Cd
0.667 0.667 0.000 Cd
0.833 0.333 0.500 Cd

YTm2Ru PBE optimized geometry; energy above the most stable polymorph in this dataset = 0.000 eV per formula unit; space group = No. 62; formation enthalpy at 0 K = -1.409 eV/f.u.; ρ = 8513 kg/m3; energy = -6.523 eV per atom
1.0
6.248 0.000 0.000
0.000 7.311 0.000
0.000 0.000 9.015
Tm Y Ru
8 4 4
direct
0.835 0.324 0.564 Tm
0.335 0.176 0.064 Tm
0.165 0.676 0.064 Tm
0.665 0.824 0.936 Tm
0.165 0.676 0.436 Tm
0.835 0.324 0.936 Tm
0.665 0.824 0.564 Tm
0.335 0.176 0.436 Tm
0.128 0.961 0.750 Y
0.372 0.461 0.750 Y
0.628 0.539 0.250 Y
0.872 0.039 0.250 Y
0.954 0.616 0.750 Ru
0.046 0.384 0.250 Ru
0.454 0.884 0.250 Ru
0.546 0.116 0.750 Ru

PuIF2 PBE optimized geometry; energy above the most stable polymorph in this dataset = 0.312 eV per formula unit; space group = No. 62; ρ = 7506 kg/m3; ΔE_f (raw) = -1018 kJ/mol of formula units; energy = -7.544 eV per atom
1.0
6.199 0.000 0.000
0.000 7.247 0.000
0.000 0.000 16.108
F Pu I
16 8 8
direct
0.156 0.073 0.960 F
0.538 0.450 0.683 F
0.038 0.950 0.817 F
0.538 0.050 0.683 F
0.844 0.573 0.040 F
0.344 0.073 0.460 F
0.462 0.950 0.317 F
0.656 0.927 0.540 F
0.844 0.927 0.040 F
0.462 0.550 0.317 F
0.962 0.450 0.183 F
0.038 0.550 0.817 F
0.656 0.573 0.540 F
0.962 0.050 0.183 F
0.344 0.427 0.460 F
0.156 0.427 0.960 F
0.013 0.750 0.930 Pu
0.513 0.250 0.570 Pu
0.330 0.250 0.335 Pu
0.987 0.250 0.070 Pu
0.830 0.750 0.165 Pu
0.170 0.250 0.835 Pu
0.670 0.750 0.665 Pu
0.487 0.750 0.430 Pu
0.976 0.750 0.356 I
0.524 0.750 0.856 I
0.173 0.750 0.602 I
0.327 0.750 0.102 I
0.673 0.250 0.898 I
0.827 0.250 0.398 I
0.476 0.250 0.144 I
0.024 0.250 0.644 I

Tl2AgCl3 PBE optimized geometry; energy above the most stable polymorph in this dataset = 0.170 eV per formula unit; space group = No. 36; ρ = 4762 kg/m3; ΔE_f (raw) = -464 kJ/mol of formula units; energy = -2.989 eV per atom
1.0
6.462 0.000 0.000
0.000 8.664 0.217
0.000 -4.056 7.659
Cl Tl Ag
6 4 2
direct
0.959 0.119 0.119 Cl
0.486 0.462 0.171 Cl
0.986 0.829 0.538 Cl
0.986 0.538 0.829 Cl
0.486 0.171 0.462 Cl
0.459 0.881 0.881 Cl
0.994 0.491 0.170 Tl
0.494 0.509 0.830 Tl
0.994 0.170 0.491 Tl
0.494 0.830 0.509 Tl
0.039 0.842 0.842 Ag
0.539 0.158 0.158 Ag

Zr2TiCu PBE optimized geometry; space group = No. 160; formation enthalpy at 0 K = 0.438 eV/f.u.; ρ = 6244 kg/m3; energy = -7.162 eV per atom
1.0
-1.453 0.446 -2.741
-3.102 -0.397 -0.213
-2.796 8.863 1.133
Cu Zr Ti
1 2 1
direct
0.667 0.667 0.999 Cu
0.253 0.253 0.240 Zr
0.080 0.080 0.760 Zr
0.500 0.500 0.501 Ti

NaPr2TaO6 PBE optimized geometry; space group = No. 146; ρ = 6586 kg/m3; ΔE_f (raw) = -2874 kJ/mol of formula units; energy = -8.227 eV per atom
1.0
5.856 0.000 0.000
2.928 5.071 0.000
2.928 1.691 4.939
Na Pr O Ta
1 2 6 1
direct
0.806 0.806 0.581 Na
0.034 0.034 0.898 Pr
0.534 0.534 0.397 Pr
0.131 0.424 0.781 O
0.568 0.199 0.248 O
0.199 0.985 0.248 O
0.424 0.664 0.781 O
0.985 0.568 0.248 O
0.664 0.131 0.781 O
0.316 0.316 0.053 Ta